Record 1
# Cs8AuCl3

A relaxed structure of Cs8AuCl3 (PBE, Alexandria).

a = 17.8008 Å, b = 10.3205 Å, c = 10.6721 Å
α = 90.00°, β = 124.44°, γ = 90.00°
Last column: nearest neighbours and their distance in Å.
Space group C2/m (No. 12)
One atom of each set of equivalent atoms:
Cs  0.0063  0.2454  0.2695 (multiplicity 8)  2 Cl 3.58, 1 Au 3.64
Cs  0.2429  0.0000  0.7245 (multiplicity 4)  3 Cl 3.57
Cs  0.2480  0.5000  0.7296 (multiplicity 4)  2 Cl 3.57, 1 Au 3.64
Au  0.0000  0.5000  0.5000 (multiplicity 2)  6 Cs 3.64
Cl  0.0000  0.0000  0.5000 (multiplicity 2)  6 Cs 3.57-3.58
Cl  0.2500  0.2500  0.5000 (multiplicity 4)  6 Cs 3.57-3.58


Record 2
# CsAu3Cl

A relaxed structure of CsAu3Cl (PBE, Alexandria).

a = 5.3307 Å, b = 5.3307 Å, c = 5.3307 Å
α = 90.00°, β = 90.00°, γ = 90.00°
Last column: nearest neighbours and their distance in Å.
Space group Pm-3m (No. 221)
One atom of each set of equivalent atoms:
Cs  0.0000  0.0000  0.0000 (multiplicity 1)  12 Au 3.77
Au  0.0000  0.5000  0.5000 (multiplicity 3)  2 Cl 2.67
Cl  0.5000  0.5000  0.5000 (multiplicity 1)  6 Au 2.67

Output
Energy above the lowest structure with this stoichiometry in meV/atom: 0


Record 3
# Cs3Au2Cl8

A relaxed structure of Cs3Au2Cl8 (PBE, Alexandria).

a = 7.0871 Å, b = 7.0871 Å, c = 31.1977 Å
α = 90.00°, β = 90.00°, γ = 120.00°
Last column: nearest neighbours and their distance in Å.
Space group R-3m (No. 166, hexagonal axes)
One atom of each set of equivalent atoms:
Cs  0.0000  0.0000  0.0000 (multiplicity 3)  12 Cl 3.73-4.12
Cs  0.0000  0.0000  0.2067 (multiplicity 6)  10 Cl 3.51-3.81
Au  0.0000  0.0000  0.3956 (multiplicity 6)  4 Cl 2.39-2.47
Cl  0.0000  0.0000  0.3191 (multiplicity 6)  1 Au 2.39
Cl  0.0146  0.5073  0.7685 (multiplicity 18)  1 Au 2.47


Record 4
# Cs6Au3Cl2

A relaxed structure of Cs6Au3Cl2 (PBE, Alexandria).

a = 6.0946 Å, b = 8.6991 Å, c = 18.4231 Å
α = 90.00°, β = 90.00°, γ = 90.00°
Last column: nearest neighbours and their distance in Å.
Space group Immm (No. 71)
One atom of each set of equivalent atoms:
Cs  0.0000  0.2344  0.0000 (multiplicity 4)  4 Au 3.67-3.70, 2 Cl 3.74, 1 Cs 4.08
Cs  0.0000  0.2580  0.3274 (multiplicity 8)  3 Cl 3.67-3.70, 4 Au 3.78-3.81
Au  0.0000  0.5000  0.1570 (multiplicity 4)  8 Cs 3.70-3.80
Au  0.0000  0.5000  0.5000 (multiplicity 2)  8 Cs 3.67-3.81
Cl  0.0000  0.0000  0.1699 (multiplicity 4)  8 Cs 3.67-3.74

Output
Energy above the lowest structure with this stoichiometry in meV/atom: 0


Record 5
# Cs2AuCl3

A relaxed structure of Cs2AuCl3 (PBE, Alexandria).

a = 9.4107 Å, b = 12.5828 Å, c = 17.2195 Å
α = 90.00°, β = 90.00°, γ = 90.00°
Last column: nearest neighbours and their distance in Å.
Space group Fmmm (No. 69)
One atom of each set of equivalent atoms:
Cs  0.2308  0.0000  0.0000 (multiplicity 8)  6 Cl 3.53-3.54
Cs  0.2500  0.2500  0.2500 (multiplicity 8)  4 Cl 3.49
Au  0.0000  0.0000  0.2194 (multiplicity 8)  3 Cl 2.36-2.55
Cl  0.0000  0.0000  0.3564 (multiplicity 8)  1 Au 2.36
Cl  0.0000  0.1495  0.1192 (multiplicity 16)  1 Au 2.55

Output
Energy above the lowest structure with this stoichiometry in meV/atom: 0


Record 6
# Cs2Au2Cl5

A relaxed structure of Cs2Au2Cl5 (PBE, Alexandria).

a = 22.3024 Å, b = 7.1759 Å, c = 7.2738 Å
α = 90.00°, β = 90.00°, γ = 90.00°
Last column: nearest neighbours and their distance in Å.
Space group Ima2 (No. 46)
One atom of each set of equivalent atoms:
Cs  0.1288  0.0386  0.0000 (multiplicity 8)  8 Cl 3.46-3.76
Au  0.0000  0.0000  0.4992 (multiplicity 4)  4 Cl 2.56
Au  0.2500  0.5373  0.0000 (multiplicity 4)  2 Cl 2.34
Cl  0.0026  0.2500  0.2493 (multiplicity 8)  2 Au 2.56
Cl  0.1451  0.5598  0.0000 (multiplicity 8)  1 Au 2.34
Cl  0.2500  0.2502  0.2501 (multiplicity 4)  2 Au 2.75


no.,ΔE_f (raw) (eV/atom),electronic total energy (eV/atom)
1,-1.01,-2.311
2,0.36,-2.151
3,-0.93,-2.769
4,-0.86,-2.551
5,-1.32,-3.078
6,-1.00,-2.941